[1]
This record from OQMD via LeMat-Bulk describes a relaxed HfTlAgSe3 crystal. The functional is PBE-GGA.

Properties
**ρ**: 7.85 g/cm3
**Energy above the most stable polymorph in this dataset**: 0 meV/atom
**SG**: No. 11

abc: 8.194 3.918 10.177
angles: 90.00 109.51 90.00
Element x y z (fractional)
Hf1 0.193 0.250 0.159
Hf2 0.807 0.750 0.841
Tl1 0.237 0.750 0.702
Tl2 0.763 0.250 0.298
Ag1 0.436 0.750 0.391
Ag2 0.564 0.250 0.609
Se1 0.051 0.250 0.873
Se2 0.223 0.250 0.427
Se3 0.403 0.750 0.127
Se4 0.597 0.250 0.873
Se5 0.777 0.750 0.573
Se6 0.949 0.750 0.127

=====

[2]
This record from OQMD via LeMat-Bulk describes a relaxed PuTcOs crystal. The functional is PBE-GGA.

Properties
**ρ**: 15.33 g/cm3
**Energy above the most stable polymorph in this dataset**: 0 meV/atom
**Formation energy from the elements**: 2.0 eV/f.u.
**SG**: No. 216

abc: 4.336 4.336 4.336
angles: 60.00 60.00 60.00
Element x y z (fractional)
Pu1 0.000 0.000 0.000
Tc1 0.250 0.250 0.250
Os1 0.750 0.750 0.750

=====

[3]
This record from OQMD via LeMat-Bulk describes a relaxed Dy2TmSc3Sb2Os crystal. The functional is PBE-GGA.

Properties
**Total DFT energy (no corrections)**: -58.8 eV per cell
**ρ**: 8.01 g/cm3
**SG**: No. 38

abc: 4.176 7.803 7.803
angles: 119.93 90.00 90.00
Element x y z (fractional)
Dy1 0.000 0.197 0.803
Dy2 0.000 0.803 0.197
Tm1 0.000 0.588 0.588
Sc1 0.500 0.198 0.427
Sc2 0.500 0.427 0.198
Sc3 0.500 0.971 0.971
Sb1 0.500 0.531 0.862
Sb2 0.500 0.862 0.531
Os1 0.000 0.202 0.202

=====

[4]
This record from OQMD via LeMat-Bulk describes a relaxed ZnPPbO crystal. The functional is PBE-GGA.

Properties
**ρ**: 6.31 g/cm3
**Energy above the most stable polymorph in this dataset**: 410 meV/atom
**SG**: No. 129

abc: 4.411 4.411 8.646
angles: 90.00 90.00 90.00
Element x y z (fractional)
Zn1 0.250 0.250 0.017
Zn2 0.750 0.750 0.983
P1 0.250 0.250 0.311
P2 0.750 0.750 0.689
Pb1 0.250 0.750 0.500
Pb2 0.750 0.250 0.500
O1 0.250 0.750 0.000
O2 0.750 0.250 0.000

=====

[5]
This record from OQMD via LeMat-Bulk describes a relaxed Zr3Ag2Sn2 crystal. The functional is PBE-GGA.

Properties
**Total DFT energy (no corrections)**: -40.2 eV per cell
**ρ**: 7.47 g/cm3
**SG**: No. 160

abc: 8.443 8.443 8.443
angles: 33.31 33.31 33.31
Element x y z (fractional)
Zr1 0.000 0.000 0.000
Zr2 0.249 0.249 0.249
Zr3 0.748 0.748 0.748
Ag1 0.383 0.383 0.383
Ag2 0.868 0.868 0.868
Sn1 0.128 0.128 0.128
Sn2 0.621 0.621 0.621

=====

[6]
This record from OQMD via LeMat-Bulk describes a relaxed SiPAuO crystal. The functional is PBE-GGA.

Properties
**ρ**: 7.10 g/cm3
**Energy above the most stable polymorph in this dataset**: 320 meV/atom
**SG**: No. 26

abc: 2.743 8.056 5.759
angles: 90.00 90.00 90.00
Element x y z (fractional)
Si1 0.000 0.104 0.000
Si2 0.000 0.896 0.500
P1 0.000 0.165 0.380
P2 0.000 0.835 0.880
Au1 0.500 0.448 0.432
Au2 0.500 0.552 0.932
O1 0.500 0.188 0.885
O2 0.500 0.812 0.385

=====

[7]
This record from OQMD via LeMat-Bulk describes a relaxed DyEr6Tm crystal. The functional is PBE-GGA.

Properties
**ρ**: 9.05 g/cm3
**Formation energy from the elements**: 0.0 eV/f.u.
**SG**: No. 187

abc: 7.149 7.149 5.534
angles: 90.00 90.00 120.00
Element x y z (fractional)
Dy1 0.000 0.000 0.000
Er1 0.001 0.500 0.000
Er2 0.167 0.334 0.500
Er3 0.167 0.833 0.500
Er4 0.500 0.500 0.000
Er5 0.500 0.999 0.000
Er6 0.666 0.833 0.500
Tm1 0.667 0.333 0.500

=====

[8]
This record from OQMD via LeMat-Bulk describes a relaxed ErCoSn crystal. The functional is PBE-GGA.

Properties
**Total DFT energy (no corrections)**: -33.9 eV per cell
**ρ**: 9.64 g/cm3
**SG**: No. 186

abc: 4.511 4.511 6.741
angles: 90.00 90.00 120.00
Element x y z (fractional)
Er1 0.000 0.000 0.000
Er2 0.000 0.000 0.500
Co1 0.333 0.667 0.268
Co2 0.667 0.333 0.768
Sn1 0.333 0.667 0.746
Sn2 0.667 0.333 0.246